(1)
# KNb2Fe4 (PBE, relaxed)
# Formation energy, meV/atom: 1839
# Total DFT energy (no corrections), eV/atom: -6.03
# Total magnetic moment, μB/f.u.: 0.827
# Density of states at the Fermi level, states/eV/cell: 12.55
# ρ, g/cm3: 5.848
data_KNb2Fe4
_chemical_formula_sum 'K2 Nb4 Fe8'
_cell_length_a 4.443
_cell_length_b 4.443
_cell_length_c 12.895
_cell_angle_alpha 90.00
_cell_angle_beta 90.00
_cell_angle_gamma 90.00
_space_group_name_H-M_alt 'I 4/m m m'
_space_group_IT_number 139
_space_group_name_Hall '-I 4 2'
loop_
_atom_site_label
_atom_site_fract_x
_atom_site_fract_y
_atom_site_fract_z
K1 0.000 0.000 0.000
Nb1 0.000 0.000 0.380
Fe1 0.000 0.000 0.204
Fe2 0.000 0.500 0.000

***

(2)
# La8Sb5Te (PBE, relaxed)
# Formation energy from raw total energies, eV per atom: -1.178
# Total DFT energy (no corrections), eV/atom: -5.69
# Total magnetic moment, μB/f.u.: 0.000
# Density of states at the Fermi level, states/eV/cell: 34.60
# ρ, g/cm3: 6.746
data_La8Sb5Te
_chemical_formula_sum 'La16 Sb10 Te2'
_cell_length_a 9.683
_cell_length_b 9.683
_cell_length_c 9.702
_cell_angle_alpha 90.00
_cell_angle_beta 90.00
_cell_angle_gamma 90.00
_space_group_name_H-M_alt 'I -4'
_space_group_IT_number 82
loop_
_space_group_symop_operation_xyz
'x,y,z'
'y,-x,-z'
'-x,-y,z'
'-y,x,-z'
'x+1/2,y+1/2,z+1/2'
'y+1/2,-x+1/2,-z+1/2'
'-x+1/2,-y+1/2,z+1/2'
'-y+1/2,x+1/2,-z+1/2'
loop_
_atom_site_label
_atom_site_fract_x
_atom_site_fract_y
_atom_site_fract_z
La1 0.072 0.178 0.196
La2 0.072 0.320 0.556
Sb1 0.000 0.000 0.500
Sb2 0.125 0.250 0.876
Te1 0.000 0.500 0.250

***

(3)
# Rb2CuGeS4 (PBE, relaxed)
# Formation energy from raw total energies, eV per atom: -0.641
# Total DFT energy (no corrections), eV/atom: -4.04
# Total magnetic moment, μB/f.u.: 1.074
# Density of states at the Fermi level, states/eV/cell: 12.61
# ρ, g/cm3: 3.448
data_Rb2CuGeS4
_chemical_formula_sum 'Rb4 Cu2 Ge2 S8'
_cell_length_a 8.018
_cell_length_b 8.018
_cell_length_c 6.524
_cell_angle_alpha 90.00
_cell_angle_beta 90.00
_cell_angle_gamma 90.00
_space_group_name_H-M_alt 'I -4 2 m'
_space_group_IT_number 121
_space_group_name_Hall 'I -4 2'
loop_
_atom_site_label
_atom_site_fract_x
_atom_site_fract_y
_atom_site_fract_z
Rb1 0.000 0.500 0.000
Cu1 0.000 0.000 0.000
Ge1 0.000 0.000 0.500
S1 0.145 0.145 0.263

***

(4)
# MgCu4Te (PBE, relaxed)
# Formation energy from raw total energies, eV per atom: -0.030
# Total DFT energy (no corrections), eV/atom: -3.55
# Total magnetic moment, μB/f.u.: 0.000
# Density of states at the Fermi level, states/eV/cell: 6.99
# ρ, g/cm3: 7.212
data_MgCu4Te
_chemical_formula_sum 'Mg4 Cu16 Te4'
_cell_length_a 7.205
_cell_length_b 7.205
_cell_length_c 7.205
_cell_angle_alpha 90.00
_cell_angle_beta 90.00
_cell_angle_gamma 90.00
_space_group_name_H-M_alt 'F -4 3 m'
_space_group_IT_number 216
_space_group_name_Hall 'F -4 2 3'
loop_
_atom_site_label
_atom_site_fract_x
_atom_site_fract_y
_atom_site_fract_z
Mg1 0.000 0.000 0.000
Cu1 0.126 0.126 0.626
Te1 0.250 0.250 0.250

***

(5)
# Ba2PrPt9 (PBE, relaxed)
# Formation energy, meV/atom: -687
# Total DFT energy (no corrections), eV/atom: -5.94
# Total magnetic moment, μB/f.u.: 0.000
# Density of states at the Fermi level, states/eV/cell: 24.74
# ρ, g/cm3: 14.706
data_Ba2PrPt9
_chemical_formula_sum 'Ba6 Pr3 Pt27'
_cell_length_a 5.5485
_cell_length_b 5.5485
_cell_length_c 27.5884
_cell_angle_alpha 90.00
_cell_angle_beta 90.00
_cell_angle_gamma 120.00
_space_group_name_H-M_alt 'R -3 m'
_space_group_IT_number 166
_space_group_name_Hall '-R 3 2"'
loop_
_atom_site_label
_atom_site_fract_x
_atom_site_fract_y
_atom_site_fract_z
Ba1 0.0000 0.0000 0.1417
Pr1 0.0000 0.0000 0.0000
Pt1 0.0000 0.0000 0.3324
Pt2 0.0000 0.0000 0.5000
Pt3 0.9997 0.4998 0.0801

***

(6)
# PrErPd4 (PBE, relaxed)
# ΔE to the lowest computed polymorph, kJ/mol of formula units: 0
# Formation energy, meV/atom: -852
# Total DFT energy (no corrections), eV/atom: -5.87
# Total magnetic moment, μB/f.u.: 0.000
# Density of states at the Fermi level, states/eV/cell: 5.29
# ρ, g/cm3: 10.065
data_PrErPd4
_chemical_formula_sum 'Pr4 Er4 Pd16'
_cell_length_a 4.228
_cell_length_b 19.829
_cell_length_c 5.776
_cell_angle_alpha 90.00
_cell_angle_beta 90.00
_cell_angle_gamma 90.00
_space_group_name_H-M_alt 'C m c m'
_space_group_IT_number 63
_space_group_name_Hall '-C 2c 2'
loop_
_atom_site_label
_atom_site_fract_x
_atom_site_fract_y
_atom_site_fract_z
Pr1 0.000 0.222 0.250
Er1 0.000 0.075 0.750
Pd1 0.000 0.071 0.250
Pd2 0.000 0.357 0.506
Pd3 0.000 0.500 0.000

***

(7)
# ScTc2AgI (PBE, relaxed)
# Formation energy from raw total energies, eV per atom: 1.758
# Total DFT energy (no corrections), eV/atom: -4.53
# Total magnetic moment, μB/f.u.: 5.072
# Density of states at the Fermi level, states/eV/cell: 5.95
# ρ, g/cm3: 5.908
data_ScTc2AgI
_chemical_formula_sum 'Sc1 Tc2 Ag1 I1'
_cell_length_a 5.022
_cell_length_b 5.022
_cell_length_c 5.301
_cell_angle_alpha 90.00
_cell_angle_beta 90.00
_cell_angle_gamma 90.00
_space_group_name_H-M_alt 'P 4/m m m'
_space_group_IT_number 123
_space_group_name_Hall '-P 4 2'
loop_
_atom_site_label
_atom_site_fract_x
_atom_site_fract_y
_atom_site_fract_z
Sc1 0.000 0.000 0.000
Tc1 0.000 0.500 0.500
Ag1 0.500 0.500 0.500
I1 0.500 0.500 0.000

***

(8)
# ZrIrSe3 (PBE, relaxed)
# ΔE to the lowest computed polymorph, kJ/mol of formula units: 0
# Formation energy from raw total energies, eV per atom: 0.240
# Total DFT energy (no corrections), eV/atom: -5.33
# Total magnetic moment, μB/f.u.: 0.000
# Density of states at the Fermi level, states/eV/cell: 2.39
# ρ, g/cm3: 7.571
data_ZrIrSe3
_chemical_formula_sum 'Zr1 Ir1 Se3'
_cell_length_a 4.851
_cell_length_b 4.851
_cell_length_c 4.851
_cell_angle_alpha 90.00
_cell_angle_beta 90.00
_cell_angle_gamma 90.00
_space_group_name_H-M_alt 'P m -3 m'
_space_group_IT_number 221
_space_group_name_Hall '-P 4 2 3'
loop_
_atom_site_label
_atom_site_fract_x
_atom_site_fract_y
_atom_site_fract_z
Zr1 0.000 0.000 0.000
Ir1 0.500 0.500 0.500
Se1 0.000 0.500 0.500

***

(9)
# Sm2Dy12Y5 (PBE, relaxed)
# ΔE to the lowest computed polymorph, kJ/mol of formula units: 195
# Formation energy, meV/atom: 127
# Total DFT energy (no corrections), eV/atom: -4.98
# Total magnetic moment, μB/f.u.: 0.000
# Density of states at the Fermi level, states/eV/cell: 58.02
# ρ, g/cm3: 7.198
data_Sm2Dy12Y5
_chemical_formula_sum 'Sm4 Dy24 Y10'
_cell_length_a 15.855
_cell_length_b 9.180
_cell_length_c 8.546
_cell_angle_alpha 90.00
_cell_angle_beta 91.27
_cell_angle_gamma 90.00
_space_group_name_H-M_alt 'C 1 2/m 1'
_space_group_IT_number 12
loop_
_space_group_symop_operation_xyz
'x,y,z'
'-x,-y,-z'
'-x,y,-z'
'x,-y,z'
'x+1/2,y+1/2,z'
'-x+1/2,-y+1/2,-z'
'-x+1/2,y+1/2,-z'
'x+1/2,-y+1/2,z'
loop_
_atom_site_label
_atom_site_fract_x
_atom_site_fract_y
_atom_site_fract_z
Sm1 0.000 0.181 0.000
Dy1 0.057 0.000 0.334
Dy2 0.092 0.500 0.884
Dy3 0.127 0.193 0.659
Dy4 0.155 0.319 0.244
Y1 0.000 0.500 0.500
Y2 0.199 0.000 0.011
Y3 0.233 0.500 0.574

***

(10)
# CaY3In2 (PBE, relaxed)
# ΔE to the lowest computed polymorph, kJ/mol of formula units: 0
# Formation energy, meV/atom: -399
# Total DFT energy (no corrections), eV/atom: -4.88
# Total magnetic moment, μB/f.u.: 0.001
# Density of states at the Fermi level, states/eV/cell: 9.03
# ρ, g/cm3: 5.134
data_CaY3In2
_chemical_formula_sum 'Ca2 Y6 In4'
_cell_length_a 5.416
_cell_length_b 9.385
_cell_length_c 6.826
_cell_angle_alpha 90.00
_cell_angle_beta 90.00
_cell_angle_gamma 90.00
_space_group_name_H-M_alt 'P m c 21'
_space_group_IT_number 26
loop_
_space_group_symop_operation_xyz
'x,y,z'
'-x,-y,z+1/2'
'-x,y,z'
'x,-y,z+1/2'
loop_
_atom_site_label
_atom_site_fract_x
_atom_site_fract_y
_atom_site_fract_z
Ca1 0.000 0.001 0.000
Y1 0.000 0.334 0.749
Y2 0.500 0.168 0.251
Y3 0.500 0.499 0.000
In1 0.000 0.336 0.250
In2 0.500 0.170 0.750

***

(11)
# Sm2AuCl (PBE, relaxed)
# ΔE to the lowest computed polymorph, kJ/mol of formula units: 0
# Formation energy from raw total energies, eV per atom: -1.068
# Total DFT energy (no corrections), eV/atom: -4.71
# Total magnetic moment, μB/f.u.: 0.000
# Density of states at the Fermi level, states/eV/cell: 7.83
# ρ, g/cm3: 8.347
data_Sm2AuCl
_chemical_formula_sum 'Sm6 Au3 Cl3'
_cell_length_a 4.2552
_cell_length_b 4.2552
_cell_length_c 20.2908
_cell_angle_alpha 90.00
_cell_angle_beta 90.00
_cell_angle_gamma 120.00
_space_group_name_H-M_alt 'R -3 m'
_space_group_IT_number 166
_space_group_name_Hall '-R 3 2"'
loop_
_atom_site_label
_atom_site_fract_x
_atom_site_fract_y
_atom_site_fract_z
Sm1 0.0000 0.0000 0.2480
Au1 0.0000 0.0000 0.5000
Cl1 0.0000 0.0000 0.0000